# 1
# InReSb2

InReSb2 after structural relaxation (GGA-PBE, Alexandria).

```
InReSb2
1.0
5.341 0.018 -0.008
4.327 3.130 -0.008
2.203 0.717 6.049
In Re Sb
1 1 2
direct
0.430 0.430 0.634
0.705 0.705 0.622
0.092 0.092 0.974
0.272 0.272 0.269
```

Properties
magnetization	0.3	Bohr magnetons per cell
formation energy (no corrections)	318	meV/atom
symmetry	Cm, No. 8



# 2
# InReSb2

InReSb2 after structural relaxation (GGA-PBE, Alexandria).

```
InReSb2
1.0
7.306 0.026 -0.007
5.241 5.090 0.007
-5.975 -3.290 2.618
In Re Sb
1 1 2
direct
0.435 0.435 0.000
0.229 0.729 0.500
0.070 0.070 0.000
0.766 0.266 0.500
```

Properties
magnetization	0.0	Bohr magnetons per cell
formation energy (no corrections)	437	meV/atom
symmetry	Imm2, No. 44



# 3
# InReSb2

InReSb2 after structural relaxation (GGA-PBE, Alexandria).

```
InReSb2
1.0
-3.165 0.982 -1.406
-2.071 -0.247 4.492
1.113 4.692 0.771
In Re Sb
1 1 2
direct
0.500 0.000 0.500
0.000 0.500 0.500
0.000 0.000 0.000
0.500 0.500 0.000
```

Properties
magnetization	0.0	Bohr magnetons per cell
formation energy (no corrections)	850	meV/atom
symmetry	Pmmm, No. 47



# 4
# In4ReSb

In4ReSb after structural relaxation (GGA-PBE, Alexandria).

```
In4ReSb
1.0
0.000 4.135 4.135
4.135 0.000 4.135
4.135 4.135 0.000
In Re Sb
4 1 1
direct
0.874 0.375 0.375
0.375 0.375 0.874
0.375 0.874 0.375
0.375 0.375 0.375
0.750 0.750 0.750
0.000 0.000 0.000
```

Properties
magnetization	1.2	Bohr magnetons per cell
formation energy (no corrections)	922	meV/atom
symmetry	F-43m, No. 216



# 5
# InReSb2

InReSb2 after structural relaxation (GGA-PBE, Alexandria).

```
InReSb2
1.0
-1.604 1.867 1.958
-1.808 -1.883 -1.754
0.472 -7.307 7.355
In Re Sb
1 1 2
direct
0.000 0.000 0.534
0.500 0.500 0.749
0.000 0.000 0.947
0.500 0.500 0.270
```

Properties
magnetization	0.0	Bohr magnetons per cell
formation energy (no corrections)	599	meV/atom
symmetry	Cmm2, No. 35



# 6
# InReSb2

InReSb2 after structural relaxation (GGA-PBE, Alexandria).

```
InReSb2
1.0
10.272 -0.034 -0.020
9.747 3.240 -0.020
9.747 1.561 2.839
In Re Sb
1 1 2
direct
0.250 0.250 0.250
0.750 0.750 0.750
0.018 0.018 0.018
0.482 0.482 0.482
```

Properties
magnetization	0.0	Bohr magnetons per cell
formation energy (no corrections)	270	meV/atom
symmetry	R-3m, No. 166



# 7
# InReSb2

InReSb2 after structural relaxation (GGA-PBE, Alexandria).

```
InReSb2
1.0
6.348 0.000 0.000
0.000 6.348 0.000
3.174 3.174 6.439
Re In Sb
2 2 4
direct
0.000 0.000 0.000
0.750 0.250 0.500
0.500 0.500 0.000
0.250 0.750 0.500
0.681 0.125 0.250
0.069 0.625 0.250
0.375 0.319 0.750
0.875 0.931 0.750
```

Properties
magnetization	0.0	Bohr magnetons per cell
formation energy (no corrections)	631	meV/atom
symmetry	I-42d, No. 122



# 8
# Sc2InReSb

Sc2InReSb after structural relaxation (GGA-PBE, Alexandria).

```
Sc2InReSb
1.0
-1.784 0.635 4.771
3.738 -2.939 1.788
2.984 4.138 0.565
Sc Re In Sb
2 1 1 1
direct
0.000 0.000 0.500
0.500 0.000 0.000
0.000 0.000 0.000
0.500 0.500 0.500
0.000 0.500 0.000
```

Properties
magnetization	0.0	Bohr magnetons per cell
formation energy (no corrections)	178	meV/atom
symmetry	P4/mmm, No. 123



Which of these has the highest magnetization? In4ReSb



What did the sixth record say?
# InReSb2

InReSb2 after structural relaxation (GGA-PBE, Alexandria).

```
InReSb2
1.0
10.272 -0.034 -0.020
9.747 3.240 -0.020
9.747 1.561 2.839
In Re Sb
1 1 2
direct
0.250 0.250 0.250
0.750 0.750 0.750
0.018 0.018 0.018
0.482 0.482 0.482
```

Properties
magnetization	0.0	Bohr magnetons per cell
formation energy (no corrections)	270	meV/atom
symmetry	R-3m, No. 166



Which formula does entry 3 have? InReSb2



The highest magnetization belongs to which entry? In4ReSb